# 1
{
  "formula": "Ca3U3GaN8",
  "functional": "PBE",
  "state": "relaxed",
  "lattice_angstrom": [[5.873, -3.396, 0.000], [5.873, 3.396, 0.000], [-3.919, 0.000, 5.673]],
  "species": ["Ca", "Ca", "Ca", "U", "U", "U", "Ga", "N", "N", "N", "N", "N", "N", "N", "N"],
  "frac_coords": [[0.000, 0.000, 0.000], [0.000, 0.500, 0.000], [0.500, 0.000, 0.000], [0.000, 0.500, 0.500], [0.500, 0.000, 0.500], [0.500, 0.500, 0.500], [0.000, 0.000, 0.500], [0.231, 0.231, 0.697], [0.232, 0.734, 0.697], [0.259, 0.259, 0.276], [0.266, 0.768, 0.303], [0.734, 0.232, 0.697], [0.741, 0.741, 0.724], [0.768, 0.266, 0.303], [0.769, 0.769, 0.303]],
  "crystal_system": "monoclinic",
  "formation_energy_uncorrected_ev_per_atom": -0.99
}

# 2
{
  "formula": "Ca2GaWN4",
  "functional": "PBE",
  "state": "relaxed",
  "lattice_angstrom": [[7.438, 0.000, 0.000], [0.000, 6.251, 0.000], [0.000, 0.000, 5.441]],
  "species": ["Ca", "Ca", "Ca", "Ca", "Ga", "Ga", "W", "W", "N", "N", "N", "N", "N", "N", "N", "N"],
  "frac_coords": [[0.250, 0.184, 0.000], [0.250, 0.816, 0.500], [0.750, 0.184, 0.000], [0.750, 0.816, 0.500], [0.000, 0.316, 0.509], [0.500, 0.684, 0.009], [0.000, 0.658, 0.020], [0.500, 0.342, 0.520], [0.000, 0.388, 0.864], [0.000, 0.606, 0.360], [0.216, 0.811, 0.951], [0.284, 0.189, 0.451], [0.500, 0.394, 0.860], [0.500, 0.612, 0.364], [0.716, 0.189, 0.451], [0.784, 0.811, 0.951]],
  "crystal_system": "orthorhombic",
  "formation_energy_uncorrected_ev_per_atom": -0.72
}

# 3
{
  "formula": "CaY2GaN",
  "functional": "PBE",
  "state": "relaxed",
  "lattice_angstrom": [[4.790, 0.000, 0.000], [0.000, 4.790, 0.000], [0.000, 0.000, 4.773]],
  "species": ["Ca", "Y", "Y", "Ga", "N"],
  "frac_coords": [[0.000, 0.000, 0.000], [0.000, 0.500, 0.500], [0.500, 0.000, 0.500], [0.500, 0.500, 0.000], [0.000, 0.000, 0.500]],
  "crystal_system": "tetragonal",
  "formation_energy_uncorrected_ev_per_atom": -0.90
}

# 4
{
  "formula": "CaZrGaN3",
  "functional": "PBE",
  "state": "relaxed",
  "lattice_angstrom": [[6.619, 0.000, 0.000], [0.000, 3.239, 0.000], [-0.883, 0.000, 8.585]],
  "species": ["Ca", "Ca", "Zr", "Zr", "Ga", "Ga", "N", "N", "N", "N", "N", "N"],
  "frac_coords": [[0.181, 0.250, 0.240], [0.819, 0.750, 0.760], [0.344, 0.750, 0.883], [0.656, 0.250, 0.117], [0.139, 0.250, 0.585], [0.861, 0.750, 0.415], [0.136, 0.250, 0.813], [0.184, 0.750, 0.469], [0.408, 0.750, 0.121], [0.592, 0.250, 0.879], [0.816, 0.250, 0.531], [0.864, 0.750, 0.187]],
  "crystal_system": "monoclinic",
  "formation_energy_uncorrected_ev_per_atom": -0.91
}

# 5
{
  "formula": "Na2CaGa",
  "functional": "PBE",
  "state": "relaxed",
  "lattice_angstrom": [[1.785, 1.030, 12.047], [-1.785, 1.030, 12.047], [0.000, -2.061, 12.047]],
  "species": ["Na", "Na", "Ca", "Ga"],
  "frac_coords": [[0.099, 0.099, 0.099], [0.901, 0.901, 0.901], [0.000, 0.000, 0.000], [0.500, 0.500, 0.500]],
  "crystal_system": "trigonal",
  "formation_energy_ev_per_atom": 0.178
}

# 6
{
  "formula": "Na2CaGa2",
  "functional": "PBE",
  "state": "relaxed",
  "lattice_angstrom": [[8.544, 0.000, 0.000], [0.000, 8.544, 0.000], [0.000, 0.000, 3.435]],
  "species": ["Na", "Na", "Na", "Na", "Ca", "Ca", "Ga", "Ga", "Ga", "Ga"],
  "frac_coords": [[0.119, 0.381, 0.000], [0.381, 0.881, 0.000], [0.619, 0.119, 0.000], [0.881, 0.619, 0.000], [0.000, 0.000, 0.000], [0.500, 0.500, 0.000], [0.182, 0.682, 0.500], [0.318, 0.182, 0.500], [0.682, 0.818, 0.500], [0.818, 0.318, 0.500]],
  "de_polymorph_kj_per_mol_atoms": 8.2,
  "crystal_system": "tetragonal",
  "formation_energy_ev_per_atom": -0.025
}

# 7
{
  "formula": "Na3CaGa",
  "functional": "PBE",
  "state": "relaxed",
  "lattice_angstrom": [[6.359, 0.000, 0.000], [0.000, 6.359, 0.000], [0.000, 0.000, 6.359]],
  "species": ["Na", "Na", "Na", "Ca", "Ga"],
  "frac_coords": [[0.000, 0.000, 0.500], [0.000, 0.500, 0.000], [0.500, 0.000, 0.000], [0.000, 0.000, 0.000], [0.500, 0.500, 0.500]],
  "de_polymorph_kj_per_mol_atoms": 50.7,
  "crystal_system": "cubic",
  "formation_energy_ev_per_atom": 0.723
}

# 8
{
  "formula": "Na2CaGa2",
  "functional": "PBE",
  "state": "relaxed",
  "lattice_angstrom": [[8.256, 0.000, 0.000], [0.000, 8.256, 0.000], [0.000, 0.000, 3.938]],
  "species": ["Na", "Na", "Na", "Na", "Ca", "Ca", "Ga", "Ga", "Ga", "Ga"],
  "frac_coords": [[0.177, 0.323, 0.000], [0.323, 0.823, 0.000], [0.677, 0.177, 0.000], [0.823, 0.677, 0.000], [0.000, 0.000, 0.500], [0.500, 0.500, 0.500], [0.113, 0.613, 0.500], [0.387, 0.113, 0.500], [0.613, 0.887, 0.500], [0.887, 0.387, 0.500]],
  "de_polymorph_kj_per_mol_atoms": 5.8,
  "crystal_system": "tetragonal",
  "formation_energy_ev_per_atom": -0.049
}

# 9
{
  "formula": "NaCa5Ga4",
  "functional": "PBE",
  "state": "relaxed",
  "lattice_angstrom": [[3.780, 0.000, 0.000], [0.000, 3.780, 0.000], [0.000, 0.000, 18.999]],
  "species": ["Na", "Ca", "Ca", "Ca", "Ca", "Ca", "Ga", "Ga", "Ga", "Ga"],
  "frac_coords": [[0.000, 0.000, 0.000], [0.500, 0.500, 0.136], [0.500, 0.500, 0.316], [0.500, 0.500, 0.500], [0.500, 0.500, 0.684], [0.500, 0.500, 0.864], [0.000, 0.000, 0.223], [0.000, 0.000, 0.408], [0.000, 0.000, 0.592], [0.000, 0.000, 0.777]],
  "crystal_system": "tetragonal",
  "formation_energy_ev_per_atom": -0.344
}

# 10
{
  "formula": "Na2Ca2Ga",
  "functional": "PBE",
  "state": "relaxed",
  "lattice_angstrom": [[7.994, 0.000, 0.000], [0.000, 7.994, 0.000], [0.000, 0.000, 5.878]],
  "species": ["Na", "Na", "Na", "Na", "Ca", "Ca", "Ca", "Ca", "Ga", "Ga"],
  "frac_coords": [[0.161, 0.339, 0.000], [0.339, 0.839, 0.000], [0.661, 0.161, 0.000], [0.839, 0.661, 0.000], [0.164, 0.664, 0.500], [0.336, 0.164, 0.500], [0.664, 0.836, 0.500], [0.836, 0.336, 0.500], [0.000, 0.000, 0.500], [0.500, 0.500, 0.500]],
  "de_polymorph_kj_per_mol_atoms": 6.2,
  "crystal_system": "tetragonal",
  "formation_energy_ev_per_atom": 0.081
}

# 11
{
  "formula": "Na2CaGa2",
  "functional": "PBE",
  "state": "relaxed",
  "lattice_angstrom": [[-2.152, 2.152, 7.082], [2.152, -2.152, 7.082], [2.152, 2.152, -7.082]],
  "species": ["Na", "Na", "Ca", "Ga", "Ga"],
  "frac_coords": [[0.250, 0.750, 0.500], [0.750, 0.250, 0.500], [0.000, 0.000, 0.000], [0.409, 0.409, 0.000], [0.591, 0.591, 0.000]],
  "de_polymorph_kj_per_mol_atoms": 0.0,
  "crystal_system": "tetragonal",
  "formation_energy_ev_per_atom": -0.110
}

# 12
{
  "formula": "Na3Ca12Ga5",
  "functional": "PBE",
  "state": "relaxed",
  "lattice_angstrom": [[-9.426, 9.426, 9.426], [9.426, -9.426, 9.426], [9.426, 9.426, -9.426]],
  "species": ["Na", "Na", "Na", "Na", "Na", "Na", "Na", "Na", "Na", "Na", "Na", "Na", "Ca", "Ca", "Ca", "Ca", "Ca", "Ca", "Ca", "Ca", "Ca", "Ca", "Ca", "Ca", "Ca", "Ca", "Ca", "Ca", "Ca", "Ca", "Ca", "Ca", "Ca", "Ca", "Ca", "Ca", "Ca", "Ca", "Ca", "Ca", "Ca", "Ca", "Ca", "Ca", "Ca", "Ca", "Ca", "Ca", "Ca", "Ca", "Ca", "Ca", "Ca", "Ca", "Ca", "Ca", "Ca", "Ca", "Ca", "Ca", "Ga", "Ga", "Ga", "Ga", "Ga", "Ga", "Ga", "Ga", "Ga", "Ga", "Ga", "Ga", "Ga", "Ga", "Ga", "Ga", "Ga", "Ga", "Ga", "Ga"],
  "frac_coords": [[0.125, 0.250, 0.375], [0.125, 0.375, 0.750], [0.250, 0.375, 0.125], [0.250, 0.875, 0.625], [0.375, 0.125, 0.250], [0.375, 0.750, 0.125], [0.625, 0.250, 0.875], [0.625, 0.875, 0.750], [0.750, 0.125, 0.375], [0.750, 0.625, 0.875], [0.875, 0.625, 0.250], [0.875, 0.750, 0.625], [0.022, 0.197, 0.104], [0.022, 0.325, 0.918], [0.082, 0.604, 0.407], [0.082, 0.978, 0.675], [0.093, 0.697, 0.675], [0.093, 0.896, 0.418], [0.104, 0.022, 0.197], [0.104, 0.582, 0.907], [0.175, 0.197, 0.593], [0.175, 0.478, 0.582], [0.197, 0.104, 0.022], [0.197, 0.593, 0.175], [0.303, 0.325, 0.907], [0.303, 0.478, 0.396], [0.325, 0.907, 0.303], [0.325, 0.918, 0.022], [0.396, 0.303, 0.478], [0.396, 0.593, 0.918], [0.407, 0.082, 0.604], [0.407, 0.825, 0.803], [0.418, 0.093, 0.896], [0.418, 0.825, 0.522], [0.478, 0.396, 0.303], [0.478, 0.582, 0.175], [0.522, 0.418, 0.825], [0.522, 0.604, 0.697], [0.582, 0.175, 0.478], [0.582, 0.907, 0.104], [0.593, 0.175, 0.197], [0.593, 0.918, 0.396], [0.604, 0.407, 0.082], [0.604, 0.697, 0.522], [0.675, 0.082, 0.978], [0.675, 0.093, 0.697], [0.697, 0.522, 0.604], [0.697, 0.675, 0.093], [0.803, 0.407, 0.825], [0.803, 0.896, 0.978], [0.825, 0.522, 0.418], [0.825, 0.803, 0.407], [0.896, 0.418, 0.093], [0.896, 0.978, 0.803], [0.907, 0.104, 0.582], [0.907, 0.303, 0.325], [0.918, 0.022, 0.325], [0.918, 0.396, 0.593], [0.978, 0.675, 0.082], [0.978, 0.803, 0.896], [0.000, 0.000, 0.000], [0.000, 0.000, 0.500], [0.000, 0.500, 0.000], [0.000, 0.500, 0.500], [0.125, 0.750, 0.875], [0.125, 0.875, 0.250], [0.250, 0.125, 0.875], [0.250, 0.625, 0.375], [0.375, 0.250, 0.625], [0.375, 0.625, 0.750], [0.500, 0.000, 0.000], [0.500, 0.000, 0.500], [0.500, 0.500, 0.000], [0.500, 0.500, 0.500], [0.625, 0.375, 0.250], [0.625, 0.750, 0.375], [0.750, 0.375, 0.625], [0.750, 0.875, 0.125], [0.875, 0.125, 0.750], [0.875, 0.250, 0.125]],
  "crystal_system": "cubic",
  "formation_energy_ev_per_atom": 0.146
}

Going through the records in order, we get magnetization values of 3.0, 0.0, 0.0, 0.0, 0.0, 0.0, 0.0, 0.0, 0.0, 0.0, 0.0, 3.2 μB per formula unit.
Going through the records in order, we get calculated density values of 7.457, 5.116, 4.573, 4.385, 1.946, 2.987, 1.154, 2.790, 3.072, 1.732, 2.853, 1.781 g/cm³.